A crystal of Ag2Au relaxed with PBEsol. Source: Alexandria via LeMat-Bulk, functional meta-GGA SCAN.

POSCAR file:
```
Ag2Au
1.0
4.049 -0.001 0.000
-0.001 4.049 0.000
-2.024 -2.024 12.187
Ag Au
8 4
direct
0.833 0.333 0.667
0.583 0.583 0.167
0.000 0.500 0.000
0.250 0.250 0.500
0.667 0.167 0.333
0.750 0.750 0.500
0.500 0.000 0.000
0.417 0.417 0.833
0.333 0.833 0.666
0.167 0.667 0.334
0.083 0.083 0.166
0.917 0.917 0.834
```

Calculated values
E_form, meV per atom: -75
Final energy, eV per atom: -44.039
Space group: No. 141